VASP calculation (GGA-PBE) on IrOs2Au after structural relaxation.

```
IrOs2Au
1.0
-1.953 -4.362 -0.434
-1.394 -3.997 2.259
-4.639 1.122 0.810
Os Ir Au
2 1 1
Direct
0.007 0.007 0.982
0.493 0.493 0.518
0.750 0.750 0.750
0.250 0.250 0.250
```

Results
space-group type	C2/m (12)
total moment	0.000	μB/atom
DOS at the Fermi energy	5.23	states/eV/cell
energy relative to the lowest polymorph listed for this composition	199.1	meV per atom
uncorrected energy	-8.19	eV/atom